Entry 1:
First-principles (PBE-GGA) data for crystalline Gd2Br at its relaxed geometry, as listed in OQMD. Values from VASP.

Cell and atoms, written as Quantum ESPRESSO input:
```
&SYSTEM
  ibrav = 0, nat = 6, ntyp = 2
/
ATOMIC_SPECIES
Gd 157.25 Gd.upf
Br 79.90 Br.upf
ATOMIC_POSITIONS crystal
Gd 0.000 0.000 0.000
Gd 0.000 0.000 0.500
Gd 0.000 0.500 0.000
Gd 0.500 0.000 0.000
Br 0.375 0.375 0.375
Br 0.625 0.625 0.625
CELL_PARAMETERS angstrom
0.000 4.649 4.649
4.649 0.000 4.649
4.649 4.649 0.000
```

Its space group is Fd-3m, No. 227. The calculation puts the mass density at 6.52 g/cm3. Its magnetization is 0.3 μB/f.u.

***

Entry 2:
First-principles (PBE-GGA) data for crystalline GdBr3 at its relaxed geometry, as listed in OQMD. Values from VASP.

Cell and atoms, written as Quantum ESPRESSO input:
```
&SYSTEM
  ibrav = 0, nat = 8, ntyp = 2
/
ATOMIC_SPECIES
Gd 157.25 Gd.upf
Br 79.90 Br.upf
ATOMIC_POSITIONS crystal
Gd 0.000 0.000 0.000
Gd 0.500 0.500 0.500
Br 0.076 0.750 0.424
Br 0.250 0.576 0.924
Br 0.424 0.076 0.750
Br 0.576 0.924 0.250
Br 0.750 0.424 0.076
Br 0.924 0.250 0.576
CELL_PARAMETERS angstrom
3.456 1.995 6.421
-3.456 1.995 6.421
0.000 -3.991 6.421
```

Its space group is R-3c, No. 167. The calculation puts the mass density at 4.96 g/cm3. Its magnetization is 0.0 μB/f.u.

***

Number 1: final energy -21.0 eV per cell. Number 2: final energy -33.9 eV per cell.